# 1
This record from Alexandria describes an optimized crystal structure of TaCd4P. The functional is GGA-PBEsol.

total energy	-3.160	eV per atom
energy of formation from the pure elements	0.695	eV per atom
V	118	Å³/cell

Cell: 5.5036 5.5036 5.5036 Å, 60.00 60.00 60.00°
With the nearest neighbours (Å) after each atom.
Sites, in units of the cell vectors:
1 Cd 0.8760 0.3747 0.3747  6 Cd 2.74-2.76
2 Cd 0.3747 0.3747 0.3747  6 Cd 2.74-2.76
3 Cd 0.3747 0.3747 0.8760  6 Cd 2.74-2.76
4 Cd 0.3747 0.8760 0.3747  6 Cd 2.74-2.76
5 P 0.7500 0.7500 0.7500  12 Cd 3.23, 4 Ta 3.37
6 Ta 0.0000 0.0000 0.0000  12 Cd 3.23, 4 P 3.37

---

# 2
This record from Alexandria describes an optimized crystal structure of Sr2EuCu3Pb2O8. The functional is GGA-PBEsol.

uncorrected formation energy	-1.64	eV per atom
total energy	-6.470	eV per atom
V	226	Å³/cell

Cell: 3.7869 3.7869 15.7815 Å, 90.00 90.00 90.00°
With the nearest neighbours (Å) after each atom.
Sites, in units of the cell vectors:
1 Sr 0.0000 0.0000 0.7784  9 O 2.56-2.73
2 Sr 0.0000 0.0000 0.2216  9 O 2.56-2.73
3 Eu 0.0000 0.0000 0.0000  8 O 2.44
4 Cu 0.0000 0.0000 0.5000  2 O 1.83
5 Cu 0.5000 0.5000 0.8922  4 O 1.90
6 Cu 0.5000 0.5000 0.1078  4 O 1.90
7 Pb 0.5000 0.5000 0.3886  1 O 2.16
8 Pb 0.5000 0.5000 0.6114  1 O 2.16
9 O 0.0000 0.5000 0.9026  2 Cu 1.90
10 O 0.5000 0.0000 0.0974  2 Cu 1.90
11 O 0.0000 0.5000 0.0974  2 Cu 1.90
12 O 0.5000 0.0000 0.9026  2 Cu 1.90
13 O 0.0000 0.0000 0.3838  1 Cu 1.83
14 O 0.5000 0.5000 0.7483  1 Pb 2.16, 1 Cu 2.27
15 O 0.5000 0.5000 0.2517  1 Pb 2.16, 1 Cu 2.27
16 O 0.0000 0.0000 0.6162  1 Cu 1.83

---

# 3
This record from Alexandria describes an optimized crystal structure of Li2CaAlHg. The functional is GGA-PBEsol.

total energy	-2.163	eV per atom
energy of formation from the pure elements	-0.018	eV per atom
V	122	Å³/cell

Cell: 4.9364 4.9364 5.0004 Å, 90.00 90.00 90.00°
With the nearest neighbours (Å) after each atom.
Sites, in units of the cell vectors:
1 Ca 0.5000 0.5000 0.5000  4 Hg 3.49, 8 Li 3.51
2 Li 0.0000 0.5000 0.0000  2 Al 2.47
3 Li 0.5000 0.0000 0.0000  2 Al 2.47
4 Hg 0.0000 0.0000 0.5000  2 Al 2.50
5 Al 0.0000 0.0000 0.0000  4 Li 2.47, 2 Hg 2.50

---

# 4
This record from Alexandria describes an optimized crystal structure of CaAsC3. The functional is GGA-PBEsol.

total energy	-5.398	eV per atom
energy of formation from the pure elements	1.836	eV per atom
V	63	Å³/cell

Cell: 3.9719 3.9719 3.9719 Å, 90.00 90.00 90.00°
With the nearest neighbours (Å) after each atom.
Sites, in units of the cell vectors:
1 C 0.0000 0.5000 0.0000  2 As 1.99
2 C 0.0000 0.0000 0.5000  2 As 1.99
3 C 0.5000 0.0000 0.0000  2 As 1.99
4 As 0.0000 0.0000 0.0000  6 C 1.99
5 Ca 0.5000 0.5000 0.5000  12 C 2.81

---

# 5
This record from Alexandria describes an optimized crystal structure of Tl2TcS. The functional is GGA-PBEsol.

uncorrected formation energy	0.94	eV per atom
total energy	-4.290	eV per atom
V	81	Å³/cell

Cell: 4.8529 4.8529 4.8529 Å, 60.00 60.00 60.00°
With the nearest neighbours (Å) after each atom.
Sites, in units of the cell vectors:
1 S 0.0000 0.0000 0.0000  8 Tl 2.97
2 Tl 0.2500 0.2500 0.2500  4 S 2.97, 4 Tc 2.97
3 Tl 0.7500 0.7500 0.7500  4 S 2.97, 4 Tc 2.97
4 Tc 0.5000 0.5000 0.5000  8 Tl 2.97

---

# 6
This record from Alexandria describes an optimized crystal structure of ZrCr2Cd. The functional is GGA-PBEsol.

total energy	-7.220	eV per atom
energy of formation from the pure elements	0.473	eV per atom
V	68	Å³/cell

Cell: 2.8446 4.4920 5.3164 Å, 90.00 95.71 90.00°
With the nearest neighbours (Å) after each atom.
Sites, in units of the cell vectors:
1 Cd 0.0000 0.5000 0.5000  2 Cd 2.84, 4 Zr 2.89-3.14, 4 Cr 2.89
2 Cr 0.8251 0.0000 0.8203  1 Cr 2.06
3 Cr 0.1749 0.0000 0.1797  1 Cr 2.06
4 Zr 0.5000 0.5000 0.0000  4 Cr 2.64, 2 Zr 2.84, 2 Cd 2.89

---

# 7
This record from Alexandria describes an optimized crystal structure of SrAs2. The functional is GGA-PBEsol.

total energy	-4.384	eV per atom
energy of formation from the pure elements	-0.366	eV per atom
V	144	Å³/cell

Cell: 5.1898 5.1898 6.1528 Å, 90.00 90.00 120.00°
With the nearest neighbours (Å) after each atom.
Sites, in units of the cell vectors:
1 Sr 0.3333 0.6667 0.7500  5 As 3.00-3.08
2 Sr 0.6667 0.3333 0.2500  5 As 3.00-3.08
3 As 0.0000 0.0000 0.0000  8 As 3.08-3.37, 6 Sr 3.37
4 As 0.0000 0.0000 0.5000  8 As 3.08-3.37, 6 Sr 3.37
5 As 0.6667 0.3333 0.7500  5 Sr 3.00-3.08
6 As 0.3333 0.6667 0.2500  5 Sr 3.00-3.08

---

# 8
This record from Alexandria describes an optimized crystal structure of KCo2Br. The functional is GGA-PBEsol.

energy above the most stable polymorph in this dataset	7.8	meV per atom
uncorrected formation energy	0.31	eV per atom
total energy	-4.312	eV per atom
V	85	Å³/cell

Cell: 3.2870 3.2870 7.8461 Å, 90.00 90.00 90.00°
With the nearest neighbours (Å) after each atom.
Sites, in units of the cell vectors:
1 Br 0.5000 0.5000 0.7724  1 Co 2.37
2 Co 0.0000 0.0000 0.1355  4 Co 2.37
3 Co 0.5000 0.5000 0.0746  1 Br 2.37, 4 Co 2.37
4 K 0.0000 0.0000 0.5175  1 Co 3.00, 4 Br 3.07, 4 K 3.29

---

# 9
This record from Alexandria describes an optimized crystal structure of Mg3AgHg. The functional is GGA-PBEsol.

total energy	-1.687	eV per atom
energy of formation from the pure elements	0.118	eV per atom
V	131	Å³/cell

Cell: 5.0746 5.0746 5.0746 Å, 90.00 90.00 90.00°
With the nearest neighbours (Å) after each atom.
Sites, in units of the cell vectors:
1 Mg 0.0000 0.5000 0.0000  2 Ag 2.54
2 Mg 0.0000 0.0000 0.5000  2 Ag 2.54
3 Mg 0.5000 0.0000 0.0000  2 Ag 2.54
4 Hg 0.5000 0.5000 0.5000  12 Mg 3.59
5 Ag 0.0000 0.0000 0.0000  6 Mg 2.54

---

# 10
This record from Alexandria describes an optimized crystal structure of CdBr. The functional is GGA-PBEsol.

uncorrected formation energy	-0.53	eV per atom
total energy	-2.062	eV per atom
V	109	Å³/cell

Cell: 3.8024 3.8024 8.9407 Å, 77.72 77.72 60.00°
With the nearest neighbours (Å) after each atom.
Sites, in units of the cell vectors:
1 Br 0.1039 0.1039 0.6883  3 Cd 2.76
2 Br 0.8961 0.8961 0.3117  3 Cd 2.76
3 Cd 0.6273 0.6273 0.1180  3 Br 2.76, 3 Cd 3.00
4 Cd 0.3727 0.3727 0.8820  3 Br 2.76, 3 Cd 3.00

---

# 11
This record from Alexandria describes an optimized crystal structure of BaYCrCuO5. The functional is GGA-PBEsol.

uncorrected formation energy	-2.30	eV per atom
total energy	-7.833	eV per atom
V	111	Å³/cell

Cell: 3.8539 3.8539 7.4895 Å, 90.00 90.00 90.00°
With the nearest neighbours (Å) after each atom.
Sites, in units of the cell vectors:
1 Ba 0.0000 0.0000 0.9831  8 O 2.75-2.92
2 Y 0.0000 0.0000 0.4564  8 O 2.35-2.42
3 Cr 0.5000 0.5000 0.6952  5 O 1.81-1.95
4 Cu 0.5000 0.5000 0.2590  4 O 1.93
5 O 0.0000 0.5000 0.6522  2 Cr 1.95
6 O 0.5000 0.0000 0.6522  2 Cr 1.95
7 O 0.0000 0.5000 0.2767  2 Cu 1.93
8 O 0.5000 0.0000 0.2767  2 Cu 1.93
9 O 0.5000 0.5000 0.9367  1 Cr 1.81

---

# 12
This record from Alexandria describes an optimized crystal structure of OsRu2. The functional is GGA-PBEsol.

energy above the most stable polymorph in this dataset	6.8	meV per atom
total energy	-10.859	eV per atom
energy of formation from the pure elements	-0.005	eV per atom
V	81	Å³/cell

Cell: 2.7046 4.2715 7.1440 Å, 90.00 100.91 90.00°
With the nearest neighbours (Å) after each atom.
Sites, in units of the cell vectors:
1 Os 0.7213 0.7500 0.4427  6 Ru 2.64-2.72, 6 Os 2.65-2.70
2 Os 0.2787 0.2500 0.5573  6 Ru 2.64-2.72, 6 Os 2.65-2.70
3 Ru 0.3898 0.7500 0.7796  8 Ru 2.64-2.70, 4 Os 2.64-2.72
4 Ru 0.0554 0.7500 0.1108  10 Ru 2.64-2.70, 2 Os 2.69
5 Ru 0.9446 0.2500 0.8892  10 Ru 2.64-2.70, 2 Os 2.69
6 Ru 0.6102 0.2500 0.2204  8 Ru 2.64-2.70, 4 Os 2.64-2.72